# ThMg2Al2Ag2 PBE-GGA optimized geometry
data_ThMg2Al2Ag2
_cell_length_a 4.5475
_cell_length_b 4.5475
_cell_length_c 24.9412
_cell_angle_alpha 90.00
_cell_angle_beta 90.00
_cell_angle_gamma 120.00
_space_group_name_H-M_alt 'R -3 m'
_space_group_IT_number 166
_space_group_name_Hall '-R 3 2"'
loop_
_atom_site_label
_atom_site_fract_x
_atom_site_fract_y
_atom_site_fract_z
Th1 0.0000 0.0000 0.0000
Mg1 0.0000 0.0000 0.1367
Al1 0.0000 0.0000 0.2584
Ag1 0.0000 0.0000 0.4254
# D(E_F) ... 0.721 states/eV/atom
# Calculated volume ... 21.3 Å³ per atom
# DFT total energy ... -75.7 eV/cell
# Magnetization ... 0.0 μB per formula unit
# Formation energy ... -0.203 eV/atom